Below is an optimized crystal structure of PmDy2Tl, with properties calculated at the PBE level.

```
PmDy2Tl
1.0
6.807 0.000 0.000
0.000 5.292 0.000
-1.574 0.000 6.710
Pm Dy Tl
2 4 2
direct
0.097 0.250 0.397 Pm
0.903 0.750 0.603 Pm
0.168 0.250 0.921 Dy
0.370 0.750 0.255 Dy
0.630 0.250 0.745 Dy
0.832 0.750 0.079 Dy
0.385 0.750 0.744 Tl
0.615 0.250 0.256 Tl
```

## Properties
- symmetry = No. 11
- V (Å³/cell) = 242
- energy relative to the lowest polymorph listed for this composition (meV/atom) = 0
- total moment (μB per cell) = 0.0
- total energy (eV/cell) = -34.14
- E_form (eV/f.u.) = -0.7
- D(E_F) (states/eV per cell) = 9.2

Below is an optimized crystal structure of Tb6HoAl2, with properties calculated at the PBE level.

```
Tb6HoAl2
1.0
-2.388 2.388 13.863
2.388 -2.388 13.863
2.388 2.388 -13.863
Tb Ho Al
6 1 2
direct
0.145 0.650 0.000 Tb
0.250 0.750 0.500 Tb
0.350 0.350 0.495 Tb
0.650 0.145 0.000 Tb
0.750 0.250 0.500 Tb
0.855 0.855 0.505 Tb
0.000 0.000 0.000 Ho
0.315 0.315 0.000 Al
0.685 0.685 0.000 Al
```

## Properties
- symmetry = No. 121
- V (Å³/cell) = 316
- energy relative to the lowest polymorph listed for this composition (meV/atom) = 682
- total moment (μB per cell) = 0.0
- total energy (eV/cell) = -35.18
- E_form (eV/f.u.) = 4.7
- D(E_F) (states/eV per cell) = 10.2

Below is an optimized crystal structure of AcSnSe3, with properties calculated at the PBE level.

```
AcSnSe3
1.0
4.954 0.000 0.000
0.000 11.352 3.485
0.000 -11.352 3.485
Ac Sn Se
2 2 6
direct
0.250 0.171 0.829 Ac
0.750 0.829 0.171 Ac
0.250 0.314 0.523 Sn
0.750 0.523 0.314 Sn
0.250 0.039 0.466 Se
0.250 0.381 0.240 Se
0.250 0.667 0.911 Se
0.750 0.240 0.381 Se
0.750 0.466 0.039 Se
0.750 0.911 0.667 Se
```

## Properties
- symmetry = No. 40
- V (Å³/cell) = 392
- energy relative to the lowest polymorph listed for this composition (meV/atom) = 93
- total moment (μB per cell) = 0.0
- total energy (eV/cell) = -48.23
- D(E_F) (states/eV per cell) = 2.4
- E_form (uncorrected) (kJ/mol of atoms) = -107

Below is an optimized crystal structure of KCaRh, with properties calculated at the PBE level.

```
KCaRh
1.0
0.000 3.566 3.566
3.566 0.000 3.566
3.566 3.566 0.000
K Ca Rh
1 1 1
direct
0.000 0.000 0.000 K
0.500 0.500 0.500 Ca
0.250 0.250 0.250 Rh
```

## Properties
- symmetry = No. 216
- V (Å³/cell) = 91
- total moment (μB per cell) = 0.2
- total energy (eV/cell) = -9.49
- E_form (eV/f.u.) = 1.0